Entry 1:
A plane-wave DFT calculation with PBE was carried out for HoBeFe after structural relaxation.

Structure (POSCAR):
```
HoBeFe
1.0
3.833 0.000 0.000
-1.916 3.319 0.000
0.000 0.000 3.832
Ho Be Fe
1 1 1
Direct
0.000 0.000 0.000
0.667 0.333 0.500
0.333 0.667 0.500
```

Entry 2:
A plane-wave DFT calculation with PBE was carried out for HoBeFe after structural relaxation.

Structure (POSCAR):
```
HoBeFe
1.0
5.029 0.000 0.000
0.000 7.326 0.000
0.000 0.000 5.345
Ho Be Fe
4 4 4
Direct
0.000 0.147 0.250
0.000 0.853 0.750
0.500 0.353 0.750
0.500 0.647 0.250
0.000 0.239 0.750
0.000 0.761 0.250
0.500 0.261 0.250
0.500 0.739 0.750
0.000 0.500 0.000
0.000 0.500 0.500
0.500 0.000 0.000
0.500 0.000 0.500
```

| no. | excess energy over the best structure of this formula in the dataset (meV per atom) | formation energy from the elements (eV/atom) |
| --- | --- | --- |
| 1 | 0 | 0.05 |
| 2 | 193 | 0.24 |